1.
VASP calculation (PBE) on BaTiO2 after structural relaxation.

The density of states at the Fermi level comes out at 0.6132 states/eV per atom. The energy above the most stable polymorph in this dataset is 0.00 eV/f.u. The calculation puts the magnetic moment at 0.041 μB per atom. As for the space-group type: I-42d, No. 122.

a = 6.601 Å, b = 6.601 Å, c = 6.601 Å
α = 134.04°, β = 134.04°, γ = 67.03°
Positions (direct):
Ba1 0.000 0.000 0.000
Ba2 0.750 0.250 0.500
Ti1 0.250 0.750 0.500
Ti2 0.500 0.500 0.000
O1 0.287 0.625 0.162
O2 0.375 0.537 0.662
O3 0.463 0.125 0.838
O4 0.875 0.713 0.338


2.
VASP calculation (PBE) on BaTiO3 after structural relaxation.

The density of states at the Fermi level comes out at 0.0000 states/eV per atom. The energy comes out at -39.9 eV/f.u. The calculation puts the magnetic moment at 0.000 μB per atom. As for the space-group type: C2/c, No. 15.

a = 7.834 Å, b = 7.834 Å, c = 6.200 Å
α = 99.30°, β = 99.30°, γ = 89.57°
Positions (direct):
Ba1 0.099 0.901 0.750
Ba2 0.320 0.680 0.250
Ba3 0.680 0.320 0.750
Ba4 0.901 0.099 0.250
Ti1 0.204 0.376 0.738
Ti2 0.376 0.204 0.238
Ti3 0.624 0.796 0.762
Ti4 0.796 0.624 0.262
O1 0.017 0.234 0.672
O2 0.145 0.588 0.835
O3 0.234 0.017 0.172
O4 0.318 0.362 0.484
O5 0.362 0.318 0.984
O6 0.412 0.855 0.665
O7 0.588 0.145 0.335
O8 0.638 0.682 0.016
O9 0.682 0.638 0.516
O10 0.766 0.983 0.828
O11 0.855 0.412 0.165
O12 0.983 0.766 0.328


3.
VASP calculation (PBE) on Ba4Ti3O10 after structural relaxation.

The density of states at the Fermi level comes out at 0.0000 states/eV per atom. The energy above the most stable polymorph in this dataset is 0.07 eV/f.u. The calculation puts the magnetic moment at 0.000 μB per atom. As for the space-group type: Cmce, No. 64.

a = 4.070 Å, b = 4.070 Å, c = 29.520 Å
α = 90.00°, β = 90.00°, γ = 90.15°
Positions (direct):
Ba1 0.004 0.996 0.933
Ba2 0.007 0.993 0.799
Ba3 0.493 0.507 0.299
Ba4 0.496 0.504 0.433
Ba5 0.504 0.496 0.567
Ba6 0.507 0.493 0.701
Ba7 0.993 0.007 0.201
Ba8 0.996 0.004 0.067
Ti1 0.000 0.000 0.500
Ti2 0.022 0.978 0.637
Ti3 0.478 0.522 0.137
Ti4 0.500 0.500 0.000
Ti5 0.522 0.478 0.863
Ti6 0.978 0.022 0.363
O1 0.000 0.500 0.000
O2 0.000 0.500 0.500
O3 0.003 0.997 0.432
O4 0.004 0.486 0.363
O5 0.006 0.994 0.296
O6 0.014 0.496 0.137
O7 0.486 0.004 0.637
O8 0.494 0.506 0.796
O9 0.496 0.014 0.863
O10 0.497 0.503 0.932
O11 0.500 0.000 0.000
O12 0.500 0.000 0.500
O13 0.503 0.497 0.068
O14 0.504 0.986 0.137
O15 0.506 0.494 0.204
O16 0.514 0.996 0.363
O17 0.986 0.504 0.863
O18 0.994 0.006 0.704
O19 0.996 0.514 0.637
O20 0.997 0.003 0.568


4.
VASP calculation (PBE) on BaTiO2 after structural relaxation.

The density of states at the Fermi level comes out at 0.6547 states/eV per atom. The energy above the most stable polymorph in this dataset is 0.32 eV/f.u. The calculation puts the magnetic moment at 0.000 μB per atom. As for the space-group type: R-3m, No. 166.

a = 6.851 Å, b = 6.851 Å, c = 6.851 Å
α = 33.05°, β = 33.05°, γ = 33.05°
Positions (direct):
Ba1 0.000 0.000 0.000
Ti1 0.500 0.500 0.500
O1 0.406 0.406 0.406
O2 0.594 0.594 0.594


5.
VASP calculation (PBE) on BaTiO3 after structural relaxation.

The density of states at the Fermi level comes out at 0.3662 states/eV per atom. The energy comes out at -32.6 eV/f.u. The calculation puts the magnetic moment at 0.306 μB per atom. As for the space-group type: I-4m2, No. 119.

a = 12.609 Å, b = 12.609 Å, c = 12.609 Å
α = 163.07°, β = 163.07°, γ = 24.03°
Positions (direct):
Ba1 0.000 0.000 0.000
Ba2 0.750 0.250 0.500
Ti1 0.139 0.639 0.500
Ti2 0.361 0.861 0.500
O1 0.304 0.105 0.199
O2 0.325 0.325 0.000
O3 0.675 0.675 0.000
O4 0.895 0.094 0.199
O5 0.895 0.696 0.801
O6 0.906 0.105 0.801


6.
VASP calculation (PBE) on BaTiO3 after structural relaxation.

The density of states at the Fermi level comes out at 0.0000 states/eV per atom. The energy comes out at -40.0 eV/f.u. The calculation puts the magnetic moment at 0.000 μB per atom. As for the space-group type: P2_1/m, No. 11.

a = 5.749 Å, b = 5.379 Å, c = 6.790 Å
α = 90.00°, β = 108.98°, γ = 90.00°
Positions (direct):
Ba1 0.049 0.250 0.251
Ba2 0.951 0.750 0.749
Ti1 0.420 0.250 0.908
Ti2 0.580 0.750 0.092
O1 0.187 0.250 0.660
O2 0.315 0.502 0.063
O3 0.315 0.998 0.063
O4 0.685 0.002 0.937
O5 0.685 0.498 0.937
O6 0.813 0.750 0.340


7.
VASP calculation (PBE) on BaTiO3 after structural relaxation.

The density of states at the Fermi level comes out at 0.0000 states/eV per atom. The energy comes out at -38.0 eV/f.u. The calculation puts the magnetic moment at 0.000 μB per atom. As for the space-group type: R-3c, No. 167.

a = 7.065 Å, b = 7.065 Å, c = 7.065 Å
α = 52.59°, β = 52.59°, γ = 52.59°
Positions (direct):
Ba1 0.000 0.000 0.000
Ba2 0.500 0.500 0.500
Ti1 0.250 0.250 0.250
Ti2 0.750 0.750 0.750
O1 0.034 0.750 0.466
O2 0.250 0.534 0.966
O3 0.466 0.034 0.750
O4 0.534 0.966 0.250
O5 0.750 0.466 0.034
O6 0.966 0.250 0.534


8.
VASP calculation (PBE) on BaTiO3 after structural relaxation.

The density of states at the Fermi level comes out at 0.0000 states/eV per atom. The energy comes out at -38.4 eV/f.u. The calculation puts the magnetic moment at 0.000 μB per atom. As for the space-group type: Pmmn, No. 59.

a = 3.095 Å, b = 7.039 Å, c = 7.329 Å
α = 90.00°, β = 90.00°, γ = 90.00°
Positions (direct):
Ba1 0.250 0.250 0.222
Ba2 0.750 0.750 0.778
Ti1 0.250 0.750 0.260
Ti2 0.750 0.250 0.740
O1 0.250 0.073 0.806
O2 0.250 0.427 0.806
O3 0.250 0.750 0.495
O4 0.750 0.250 0.505
O5 0.750 0.573 0.194
O6 0.750 0.927 0.194


9.
VASP calculation (PBE) on Ba4Ti3O10 after structural relaxation.

The density of states at the Fermi level comes out at 0.0000 states/eV per atom. The energy above the most stable polymorph in this dataset is 0.00 eV/f.u. The calculation puts the magnetic moment at 0.000 μB per atom. As for the space-group type: Fmm2, No. 42.

a = 14.956 Å, b = 4.108 Å, c = 14.953 Å
α = 82.16°, β = 15.79°, γ = 82.06°
Positions (direct):
Ba1 0.068 0.932 0.068
Ba2 0.204 0.801 0.199
Ba3 0.801 0.204 0.796
Ba4 0.932 0.068 0.932
Ti1 0.348 0.623 0.377
Ti2 0.484 0.484 0.516
Ti3 0.623 0.348 0.652
O1 0.032 0.517 0.968
O2 0.166 0.378 0.108
O3 0.316 0.724 0.276
O4 0.378 0.166 0.348
O5 0.453 0.589 0.411
O6 0.517 0.032 0.483
O7 0.589 0.453 0.547
O8 0.652 0.892 0.622
O9 0.724 0.316 0.684
O10 0.892 0.652 0.834


10.
VASP calculation (PBE) on BaTiO3 after structural relaxation.

The density of states at the Fermi level comes out at 0.1197 states/eV per atom. The energy comes out at -34.5 eV/f.u. The calculation puts the magnetic moment at 0.000 μB per atom. As for the space-group type: P4mm, No. 99.

a = 3.554 Å, b = 3.554 Å, c = 6.429 Å
α = 90.00°, β = 90.00°, γ = 90.00°
Positions (direct):
Ba1 0.000 0.000 0.000
Ti1 0.500 0.500 0.412
O1 0.000 0.000 0.627
O2 0.000 0.500 0.283
O3 0.500 0.000 0.283


11.
VASP calculation (PBE) on BaTiO3 after structural relaxation.

The density of states at the Fermi level comes out at 0.0000 states/eV per atom. The energy comes out at -39.1 eV/f.u. The calculation puts the magnetic moment at 0.000 μB per atom. As for the space-group type: Amm2, No. 38.

a = 3.525 Å, b = 6.284 Å, c = 6.284 Å
α = 60.00°, β = 90.00°, γ = 90.00°
Positions (direct):
Ba1 0.000 0.000 0.000
Ti1 0.500 0.332 0.332
O1 0.000 0.249 0.249
O2 0.500 0.198 0.655
O3 0.500 0.655 0.198


12.
VASP calculation (PBE) on Ba2Ti3O7 after structural relaxation.

The density of states at the Fermi level comes out at 0.2714 states/eV per atom. The energy comes out at -96.5 eV/f.u. The calculation puts the magnetic moment at 0.044 μB per atom. As for the space-group type: C2/m, No. 12.

a = 10.391 Å, b = 10.391 Å, c = 4.028 Å
α = 90.67°, β = 90.67°, γ = 22.67°
Positions (direct):
Ba1 0.104 0.104 0.014
Ba2 0.896 0.896 0.986
Ti1 0.300 0.300 0.448
Ti2 0.500 0.500 0.500
Ti3 0.700 0.700 0.552
O1 0.202 0.202 0.501
O2 0.308 0.308 0.008
O3 0.405 0.405 0.497
O4 0.500 0.500 0.000
O5 0.595 0.595 0.503
O6 0.692 0.692 0.992
O7 0.798 0.798 0.499